No. 1
{"formula": "TbPrDy3Y", "functional": "PBE", "state": "relaxed", "cell": [[-0.1087, -2.8961, -2.1577], [8.2561, 2.7116, -4.0556], [2.1325, -7.1138, 9.4407]], "species": ["Dy", "Tb", "Pr", "Y", "Pr", "Y", "Dy", "Tb", "Dy", "Dy", "Dy", "Dy"], "fractional_positions": [[0.2500, 0.5664, 0.4024], [0.7500, 0.3764, 0.8776], [0.7500, 0.8723, 0.3723], [0.2500, 0.1832, 0.3448], [0.2500, 0.1277, 0.6277], [0.7500, 0.8168, 0.6552], [0.7500, 0.9310, 0.0950], [0.2500, 0.6236, 0.1224], [0.7500, 0.4336, 0.5976], [0.7500, 0.3193, 0.1523], [0.2500, 0.0690, 0.9050], [0.2500, 0.6807, 0.8477]], "e_form_ev_per_atom": -0.001, "dft_energy_ha_per_atom": -0.182}

***

No. 2
{"formula": "Tb2PrDyY5", "functional": "PBE", "state": "relaxed", "cell": [[8.9218, 0.0000, 0.0000], [0.0000, 8.9218, 0.0000], [-4.4609, -4.4609, 7.4753]], "species": ["Tb", "Y", "Y", "Y", "Y", "Tb", "Tb", "Pr", "Y", "Y", "Dy", "Y", "Y", "Tb", "Dy", "Pr", "Y", "Y"], "fractional_positions": [[0.1134, 0.3866, 0.0000], [0.6614, 0.1614, 0.7339], [0.3386, 0.8386, 0.2661], [0.9275, 0.4275, 0.2661], [0.5725, 0.6614, 0.7339], [0.3866, 0.8866, 0.0000], [0.8866, 0.6134, 0.0000], [0.2500, 0.2500, 0.5000], [0.5000, 0.5000, 0.0000], [0.0725, 0.5725, 0.7339], [0.7500, 0.2500, 0.5000], [0.4275, 0.3386, 0.2661], [0.1614, 0.0725, 0.7339], [0.6134, 0.1134, 0.0000], [0.2500, 0.7500, 0.5000], [0.7500, 0.7500, 0.5000], [0.0000, 0.0000, 0.0000], [0.8386, 0.9275, 0.2661]], "e_form_ev_per_atom": 0.267, "dft_energy_ha_per_atom": -0.198}

***

No. 3
{"formula": "TbPr3Dy2Y6", "functional": "PBE", "state": "relaxed", "cell": [[-5.3249, -1.4586, 2.9229], [4.7340, -4.0753, -0.0801], [4.3592, 6.4784, 8.9566]], "species": ["Y", "Y", "Y", "Tb", "Y", "Pr", "Y", "Y", "Pr", "Dy", "Dy", "Pr"], "fractional_positions": [[0.7487, 0.7487, 0.2461], [0.0821, 0.4155, 0.2460], [0.5845, 0.9179, 0.7540], [0.0000, 0.0000, 0.0000], [0.2513, 0.2513, 0.7539], [0.8333, 0.1667, 0.5000], [0.9179, 0.5845, 0.7540], [0.4155, 0.0821, 0.2460], [0.5000, 0.5000, 0.5000], [0.6667, 0.3333, 0.0000], [0.3333, 0.6667, 0.0000], [0.1667, 0.8333, 0.5000]], "e_form_ev_per_atom": 0.017, "dft_energy_ha_per_atom": -0.204}

***

No. 4
{"formula": "Tb2PrDy2Y", "functional": "PBE", "state": "relaxed", "cell": [[3.5267, 0.0000, 0.0000], [0.0000, 16.2770, 0.0000], [0.0000, 0.0000, 6.9588]], "species": ["Y", "Pr", "Tb", "Dy", "Y", "Dy", "Dy", "Tb", "Tb", "Dy", "Pr", "Tb"], "fractional_positions": [[0.5000, 0.5000, 0.0000], [0.0000, 0.0000, 0.0000], [0.0000, 0.6579, 0.2493], [0.5000, 0.8428, 0.2496], [0.0000, 0.0000, 0.5000], [0.5000, 0.1572, 0.7504], [0.0000, 0.3428, 0.2504], [0.5000, 0.8421, 0.7493], [0.0000, 0.3421, 0.7507], [0.0000, 0.6572, 0.7496], [0.5000, 0.5000, 0.5000], [0.5000, 0.1579, 0.2507]], "e_form_ev_per_atom": 0.163, "dft_energy_ha_per_atom": -0.176}

***

No. 5
{"formula": "TbPr6DyY2", "functional": "PBE", "state": "relaxed", "cell": [[-5.7004, 7.7761, -0.6567], [-5.2109, -4.9719, -5.4609], [-1.3153, -0.9036, 8.8965]], "species": ["Pr", "Dy", "Pr", "Pr", "Pr", "Pr", "Y", "Dy", "Pr", "Pr", "Tb", "Pr", "Pr", "Pr", "Y", "Pr", "Y", "Y", "Pr", "Tb"], "fractional_positions": [[0.9434, 0.8865, 0.2358], [0.2500, 0.4112, 0.5888], [0.1165, 0.7060, 0.4832], [0.4434, 0.2358, 0.8865], [0.5566, 0.7642, 0.1135], [0.3835, 0.5168, 0.2940], [0.0486, 0.2949, 0.2015], [0.7500, 0.5888, 0.4112], [0.1884, 0.5627, 0.0065], [0.0566, 0.1135, 0.7642], [0.2500, 0.9684, 0.0316], [0.6884, 0.0065, 0.5627], [0.3116, 0.9935, 0.4373], [0.8116, 0.4373, 0.9935], [0.5486, 0.2015, 0.2949], [0.8835, 0.2940, 0.5168], [0.4514, 0.7985, 0.7051], [0.9514, 0.7051, 0.7985], [0.6165, 0.4832, 0.7060], [0.7500, 0.0316, 0.9684]], "e_form_ev_per_atom": 0.116, "dft_energy_ha_per_atom": -0.183}

***

No. 6
{"formula": "Tb2PrDy3Y6", "functional": "PBE", "state": "relaxed", "cell": [[6.1891, 0.0014, 0.0111], [-3.0918, 5.3614, 0.0111], [-1.0481, -1.8148, 11.6500]], "species": ["Y", "Dy", "Tb", "Pr", "Y", "Y", "Dy", "Y", "Y", "Tb", "Y", "Dy"], "fractional_positions": [[0.2497, 0.2497, 0.7482], [0.5000, 0.5000, 0.5000], [0.3334, 0.6666, 0.0000], [0.0000, 0.0000, 0.0000], [0.5816, 0.9156, 0.7482], [0.0844, 0.4184, 0.2518], [0.8330, 0.1670, 0.5000], [0.4184, 0.0844, 0.2518], [0.7503, 0.7503, 0.2518], [0.6666, 0.3334, 0.0000], [0.9156, 0.5816, 0.7482], [0.1670, 0.8330, 0.5000]], "e_form_ev_per_atom": 0.019, "dft_energy_ha_per_atom": -0.203}

***

No. 7
{"formula": "Tb5Pr2DyY", "functional": "PBE", "state": "relaxed", "cell": [[-8.5469, -0.8054, -0.9524], [-0.8880, -0.7028, 8.5628], [3.9058, 8.6953, -3.2376]], "species": ["Tb", "Tb", "Tb", "Pr", "Y", "Tb", "Tb", "Tb", "Dy", "Tb", "Tb", "Pr", "Pr", "Dy", "Pr", "Tb", "Y", "Tb"], "fractional_positions": [[0.5000, 0.5000, 0.0000], [0.6437, 0.1437, 0.7169], [0.4268, 0.3563, 0.2831], [0.3808, 0.8808, 0.0000], [0.2500, 0.7500, 0.5000], [0.0732, 0.5732, 0.7169], [0.9268, 0.4268, 0.2831], [0.5732, 0.6437, 0.7169], [0.2500, 0.2500, 0.5000], [0.1437, 0.0732, 0.7169], [0.3563, 0.8563, 0.2831], [0.1192, 0.3808, 0.0000], [0.8808, 0.6192, 0.0000], [0.7500, 0.7500, 0.5000], [0.6192, 0.1192, 0.0000], [0.0000, 0.0000, 0.0000], [0.7500, 0.2500, 0.5000], [0.8563, 0.9268, 0.2831]], "e_form_ev_per_atom": 0.268, "dft_energy_ha_per_atom": -0.169}

***

No. 8
{"formula": "TbPr6Dy2Y", "functional": "PBE", "state": "relaxed", "cell": [[9.2878, -2.0961, -2.1753], [0.8166, 8.7479, -2.0677], [0.8166, -2.3904, 8.6652]], "species": ["Dy", "Y", "Pr", "Dy", "Pr", "Pr", "Pr", "Pr", "Y", "Pr", "Tb", "Pr", "Pr", "Pr", "Pr", "Tb", "Pr", "Dy", "Pr", "Dy"], "fractional_positions": [[0.9546, 0.7041, 0.8005], [0.7500, 0.5898, 0.4102], [0.6190, 0.4911, 0.7069], [0.4546, 0.8005, 0.7041], [0.1869, 0.5649, 0.0107], [0.3810, 0.5089, 0.2931], [0.1190, 0.7069, 0.4911], [0.6869, 0.0107, 0.5649], [0.2500, 0.4102, 0.5898], [0.5540, 0.7615, 0.1149], [0.2500, 0.9727, 0.0273], [0.8131, 0.4351, 0.9893], [0.8810, 0.2931, 0.5089], [0.4460, 0.2385, 0.8851], [0.3131, 0.9893, 0.4351], [0.7500, 0.0273, 0.9727], [0.0540, 0.1149, 0.7615], [0.5454, 0.1995, 0.2959], [0.9460, 0.8851, 0.2385], [0.0454, 0.2959, 0.1995]], "e_form_ev_per_atom": 0.112, "dft_energy_ha_per_atom": -0.176}

***

Density of states at the Fermi level (states/eV/cell)
16.5; 22.7; 16.4; 18.4; 30.1; 16.7; 25.0; 29.3